[1]
DFT (PBE) results for an optimized crystal structure of KMoBr.

## Properties
Its energy above the most stable polymorph in this dataset is 115 meV per atom. The space group is No. 42. For the density of states at the Fermi level, the calculation gives 0.368 states/eV per atom. For the total energy, the calculation gives -3.770 eV per atom. The value obtained for the formation energy (no corrections) is 0.764 eV/atom.

Cell lengths 7.4004, 7.3866, 3.6714 Å; angles 75.83, 75.42, 28.75 degrees
Last column: nearest neighbours and their distance in Å.
Fractional coordinates of all 3 atoms:
1 Br 0.0051 0.0051 0.9949  4 Mo 3.21-3.24, 4 K 3.34-3.37
2 K 0.3516 0.3516 0.6484  4 Br 3.34-3.37, 4 K 3.67
3 Mo 0.6433 0.6433 0.3567  4 Br 3.21-3.24

[2]
DFT (PBE) results for an optimized crystal structure of Rb3WN.

## Properties
Its energy above the most stable polymorph in this dataset is 0 meV per atom. The space group is No. 221. For the density of states at the Fermi level, the calculation gives 1.522 states/eV per atom. For the total energy, the calculation gives -3.130 eV per atom. The value obtained for the formation energy (no corrections) is 1.706 eV/atom.

Cell lengths 5.8340, 5.8340, 5.8340 Å; angles 90.00, 90.00, 90.00 degrees
Last column: nearest neighbours and their distance in Å.
Fractional coordinates of all 5 atoms:
1 Rb 0.0000 0.5000 0.0000  2 N 2.92
2 Rb 0.0000 0.0000 0.5000  2 N 2.92
3 Rb 0.5000 0.0000 0.0000  2 N 2.92
4 W 0.5000 0.5000 0.5000  12 Rb 4.13
5 N 0.0000 0.0000 0.0000  6 Rb 2.92

[3]
DFT (PBE) results for an optimized crystal structure of KThPt10.

## Properties
The formation energy comes out at -0.482 eV per atom. The space group is No. 47. For the density of states at the Fermi level, the calculation gives 0.603 states/eV per atom. For the total energy, the calculation gives -6.225 eV per atom.

Cell lengths 4.3997, 5.4969, 9.4056 Å; angles 90.00, 90.00, 90.00 degrees
Last column: nearest neighbours and their distance in Å.
Fractional coordinates of all 12 atoms:
1 K 0.0000 0.0000 0.0000  10 Pt 3.16-3.52
2 Th 0.0000 0.5000 0.5000  14 Pt 3.09-3.44
3 Pt 0.0000 0.0000 0.3357  6 Pt 2.69-2.71
4 Pt 0.0000 0.5000 0.8280  6 Pt 2.70-2.73
5 Pt 0.0000 0.5000 0.1720  6 Pt 2.70-2.73
6 Pt 0.0000 0.0000 0.6643  6 Pt 2.69-2.71
7 Pt 0.5000 0.0000 0.5000  8 Pt 2.67-2.69
8 Pt 0.5000 0.5000 0.0000  8 Pt 2.73-2.77
9 Pt 0.5000 0.2555 0.2580  8 Pt 2.67-2.81
10 Pt 0.5000 0.7445 0.7420  8 Pt 2.67-2.81
11 Pt 0.5000 0.7445 0.2580  8 Pt 2.67-2.81
12 Pt 0.5000 0.2555 0.7420  8 Pt 2.67-2.81

[4]
DFT (PBE) results for an optimized crystal structure of SrZrW2.

## Properties
Its energy above the most stable polymorph in this dataset is 610 meV per atom. The formation energy comes out at 1.129 eV per atom. The space group is No. 47. For the density of states at the Fermi level, the calculation gives 1.128 states/eV per atom. For the total energy, the calculation gives -7.905 eV per atom.

Cell lengths 3.3502, 4.7465, 5.1078 Å; angles 90.00, 90.00, 90.00 degrees
Last column: nearest neighbours and their distance in Å.
Fractional coordinates of all 4 atoms:
1 Sr 0.0000 0.5000 0.5000  4 Zr 2.90, 4 W 3.05
2 W 0.0000 0.0000 0.0000  4 W 2.90, 4 Zr 3.05
3 W 0.5000 0.5000 0.0000  4 W 2.90, 4 Sr 3.05
4 Zr 0.5000 0.0000 0.5000  4 Sr 2.90, 4 W 3.05

[5]
DFT (PBE) results for an optimized crystal structure of K3NdGa2O6.

## Properties
The space group is No. 164. For the density of states at the Fermi level, the calculation gives 0.000 states/eV per atom. For the total energy, the calculation gives -5.613 eV per atom. The value obtained for the formation energy (no corrections) is -1.957 eV/atom.

Cell lengths 6.2299, 6.2299, 7.2359 Å; angles 90.00, 90.00, 120.00 degrees
Last column: nearest neighbours and their distance in Å.
Fractional coordinates of all 12 atoms:
1 K 0.3333 0.6667 0.7501  6 O 3.13, 1 Ga 3.35
2 K 0.6667 0.3333 0.2499  6 O 3.13, 1 Ga 3.35
3 K 0.0000 0.0000 0.0000  6 O 2.76
4 Nd 0.0000 0.0000 0.5000  6 O 2.38
5 Ga 0.6667 0.3333 0.7135  3 O 1.78
6 Ga 0.3333 0.6667 0.2865  3 O 1.78
7 O 0.6638 0.8319 0.2875  1 Ga 1.78
8 O 0.1681 0.3362 0.2875  1 Ga 1.78
9 O 0.1681 0.8319 0.2875  1 Ga 1.78
10 O 0.8319 0.6638 0.7125  1 Ga 1.78
11 O 0.3362 0.1681 0.7125  1 Ga 1.78
12 O 0.8319 0.1681 0.7125  1 Ga 1.78

[6]
DFT (PBE) results for an optimized crystal structure of KOsI2O.

## Properties
Its energy above the most stable polymorph in this dataset is 1970 meV per atom. The space group is No. 123. For the density of states at the Fermi level, the calculation gives 1.771 states/eV per atom. For the total energy, the calculation gives -2.604 eV per atom. The value obtained for the formation energy (no corrections) is 1.474 eV/atom.

Cell lengths 6.2826, 6.2826, 4.5402 Å; angles 90.00, 90.00, 90.00 degrees
Last column: nearest neighbours and their distance in Å.
Fractional coordinates of all 5 atoms:
1 I 0.0000 0.5000 0.0000  2 K 3.14
2 I 0.5000 0.0000 0.0000  2 K 3.14
3 K 0.0000 0.0000 0.0000  2 O 2.27
4 Os 0.5000 0.5000 0.5000  8 I 3.88
5 O 0.0000 0.0000 0.5000  2 K 2.27